Crystalline KSnCl4 at its relaxed geometry, computed with GGA-PBE.

Computed properties:
* total magnetic moment: 0.00 μB/cell
* density: 2.59 g/cm³
* E_tot: -3.31 eV per atom
* SG: C2/c, No. 15
* formation energy from raw total energies: -1.23 eV/atom

Cell: 7.622 6.955 8.727 Å, 108.78 111.52 100.09°
Sites, in units of the cell vectors:
K1 0.637 0.387 0.773
K2 0.363 0.613 0.227
Cl1 0.047 0.735 0.919
Cl2 0.834 0.050 0.580
Cl3 0.629 0.816 0.081
Cl4 0.953 0.265 0.081
Cl5 0.166 0.950 0.420
Cl6 0.754 0.470 0.420
Cl7 0.371 0.184 0.919
Cl8 0.246 0.530 0.580
Sn1 0.909 0.159 0.318
Sn2 0.091 0.841 0.682



Crystalline K5Sn3Cl12 at its relaxed geometry, computed with GGA-PBE.

Computed properties:
* total magnetic moment: 0.14 μB/cell
* density: 2.06 g/cm³
* E_tot: -3.34 eV per atom
* SG: Ia-3d, No. 230
* formation energy from raw total energies: -1.35 eV/atom

Cell: 15.987 15.987 15.987 Å, 109.47 109.47 109.47°
Sites, in units of the cell vectors:
Cl1 0.884 0.362 0.066
Cl2 0.566 0.384 0.362
Cl3 0.022 0.318 0.384
Cl4 0.434 0.818 0.296
Cl5 0.138 0.204 0.022
Cl6 0.138 0.934 0.616
Cl7 0.116 0.638 0.934
Cl8 0.934 0.138 0.116
Cl9 0.796 0.862 0.478
Cl10 0.884 0.522 0.318
Cl11 0.384 0.566 0.862
Cl12 0.862 0.066 0.384
Cl13 0.478 0.116 0.182
Cl14 0.616 0.434 0.138
Cl15 0.682 0.978 0.116
Cl16 0.818 0.384 0.522
Cl17 0.682 0.704 0.066
Cl18 0.818 0.434 0.796
Cl19 0.362 0.478 0.296
Cl20 0.116 0.478 0.682
Cl21 0.616 0.182 0.978
Cl22 0.522 0.884 0.818
Cl23 0.296 0.318 0.434
Cl24 0.478 0.362 0.796
Cl25 0.362 0.884 0.566
Cl26 0.434 0.616 0.638
Cl27 0.022 0.704 0.138
Cl28 0.384 0.818 0.022
Cl29 0.978 0.296 0.862
Cl30 0.296 0.978 0.362
Cl31 0.182 0.616 0.478
Cl32 0.066 0.862 0.884
Cl33 0.978 0.682 0.616
Cl34 0.182 0.566 0.204
Cl35 0.066 0.204 0.682
Cl36 0.318 0.022 0.884
Cl37 0.638 0.522 0.704
Cl38 0.934 0.796 0.318
Cl39 0.704 0.022 0.638
Cl40 0.318 0.296 0.934
Cl41 0.204 0.138 0.522
Cl42 0.704 0.682 0.566
Cl43 0.638 0.116 0.434
Cl44 0.522 0.638 0.204
Cl45 0.204 0.066 0.182
Cl46 0.862 0.796 0.978
Cl47 0.796 0.934 0.818
Cl48 0.566 0.182 0.704
K1 0.000 0.000 0.500
K2 0.625 0.750 0.875
K3 0.375 0.125 0.750
K4 0.000 0.500 0.000
K5 0.500 0.500 0.000
K6 0.000 0.500 0.500
K7 0.375 0.250 0.125
K8 0.875 0.250 0.625
K9 0.125 0.750 0.375
K10 0.750 0.625 0.375
K11 0.250 0.875 0.125
K12 0.250 0.375 0.625
K13 0.875 0.625 0.750
K14 0.625 0.875 0.250
K15 0.500 0.500 0.500
K16 0.000 0.000 0.000
K17 0.125 0.375 0.250
K18 0.500 0.000 0.000
K19 0.750 0.125 0.875
K20 0.500 0.000 0.500
Sn1 0.875 0.125 0.250
Sn2 0.375 0.750 0.625
Sn3 0.750 0.875 0.625
Sn4 0.375 0.625 0.250
Sn5 0.625 0.250 0.375
Sn6 0.125 0.875 0.750
Sn7 0.250 0.625 0.875
Sn8 0.625 0.375 0.750
Sn9 0.250 0.125 0.375
Sn10 0.875 0.750 0.125
Sn11 0.125 0.250 0.875
Sn12 0.750 0.375 0.125



Crystalline K2Sn4Cl9 at its relaxed geometry, computed with GGA-PBE.

Computed properties:
* total magnetic moment: 0.00 μB/cell
* density: 2.79 g/cm³
* E_tot: -3.50 eV per atom
* SG: P-1, No. 2
* formation energy from raw total energies: -1.17 eV/atom

Cell: 8.170 8.494 19.045 Å, 92.58 85.96 52.52°
Sites, in units of the cell vectors:
Cl1 0.694 0.886 0.422
Cl2 0.958 0.378 0.150
Cl3 0.985 0.289 0.764
Cl4 0.575 0.956 0.082
Cl5 0.425 0.044 0.918
Cl6 0.306 0.114 0.578
Cl7 0.643 0.304 0.267
Cl8 0.717 0.245 0.007
Cl9 0.424 0.672 0.421
Cl10 0.283 0.755 0.993
Cl11 0.015 0.711 0.236
Cl12 0.576 0.328 0.579
Cl13 0.644 0.133 0.759
Cl14 0.357 0.696 0.733
Cl15 0.017 0.653 0.572
Cl16 0.983 0.347 0.428
Cl17 0.356 0.867 0.241
Cl18 0.042 0.622 0.850
Sn1 0.268 0.327 0.208
Sn2 0.670 0.675 0.509
Sn3 0.373 0.304 0.037
Sn4 0.330 0.325 0.491
Sn5 0.317 0.415 0.710
Sn6 0.683 0.585 0.290
Sn7 0.627 0.696 0.963
Sn8 0.732 0.673 0.792
K1 0.001 0.021 0.639
K2 0.025 0.000 0.869
K3 0.975 0.000 0.131
K4 0.999 0.979 0.361



Crystalline K2Sn2Cl7 at its relaxed geometry, computed with GGA-PBE.

Computed properties:
* total magnetic moment: 0.00 μB/cell
* density: 2.74 g/cm³
* E_tot: -3.34 eV per atom
* SG: Cmmm, No. 65
* formation energy from raw total energies: -1.24 eV/atom

Cell: 6.844 7.352 6.844 Å, 89.99 96.83 90.01°
Sites, in units of the cell vectors:
Cl1 0.000 0.000 0.000
Cl2 0.500 0.240 0.000
Cl3 0.500 0.760 0.000
Cl4 0.000 0.760 0.500
Cl5 0.500 0.220 0.500
Cl6 0.000 0.240 0.500
Cl7 0.500 0.780 0.500
K1 0.755 0.500 0.755
K2 0.245 0.500 0.245
Sn1 0.275 0.000 0.725
Sn2 0.725 0.000 0.275



Crystalline K2SnCl4 at its relaxed geometry, computed with GGA-PBE.

Computed properties:
* total magnetic moment: 0.00 μB/cell
* density: 2.25 g/cm³
* E_tot: -3.45 eV per atom
* SG: I4/mmm, No. 139
* formation energy from raw total energies: -1.51 eV/atom

Cell: 5.567 5.567 8.971 Å, 71.92 71.92 90.00°
Sites, in units of the cell vectors:
Cl1 0.000 0.500 0.000
Cl2 0.500 0.000 0.000
Cl3 0.826 0.826 0.347
Cl4 0.174 0.174 0.653
K1 0.639 0.639 0.722
K2 0.361 0.361 0.278
Sn1 0.000 0.000 0.000



Crystalline K2Sn3Cl8 at its relaxed geometry, computed with GGA-PBE.

Computed properties:
* total magnetic moment: 0.00 μB/cell
* density: 2.62 g/cm³
* E_tot: -3.52 eV per atom
* SG: C2/m, No. 12
* formation energy from raw total energies: -1.29 eV/atom

Cell: 7.248 8.427 8.427 Å, 62.11 87.87 87.87°
Sites, in units of the cell vectors:
Cl1 0.877 0.395 0.395
Cl2 0.666 0.341 0.889
Cl3 0.666 0.889 0.341
Cl4 0.173 0.115 0.115
Cl5 0.334 0.111 0.659
Cl6 0.827 0.885 0.885
Cl7 0.123 0.605 0.605
Cl8 0.334 0.659 0.111
Sn1 0.500 0.000 0.000
Sn2 0.000 0.744 0.256
Sn3 0.000 0.256 0.744
K1 0.480 0.720 0.720
K2 0.520 0.280 0.280



Crystalline K2Sn2Cl at its relaxed geometry, computed with GGA-PBE.

Computed properties:
* total magnetic moment: 0.00 μB/cell
* density: 3.34 g/cm³
* E_tot: -3.17 eV per atom
* SG: I4/mmm, No. 139
* formation energy from raw total energies: -0.76 eV/atom

Cell: 4.201 4.201 10.319 Å, 78.26 78.26 90.00°
Sites, in units of the cell vectors:
Sn1 0.250 0.750 0.500
Sn2 0.750 0.250 0.500
Cl1 0.000 0.000 0.000
K1 0.409 0.409 0.182
K2 0.591 0.591 0.818



Crystalline K4SnCl6 at its relaxed geometry, computed with GGA-PBE.

Computed properties:
* total magnetic moment: 0.00 μB/cell
* density: 2.31 g/cm³
* E_tot: -3.46 eV per atom
* SG: R-3c, No. 167
* formation energy from raw total energies: -1.69 eV/atom

Cell: 8.883 8.883 8.883 Å, 89.81 89.81 90.19°
Sites, in units of the cell vectors:
K1 0.125 0.750 0.625
K2 0.250 0.250 0.750
K3 0.375 0.125 0.250
K4 0.750 0.750 0.250
K5 0.875 0.250 0.375
K6 0.625 0.875 0.750
K7 0.250 0.625 0.125
K8 0.750 0.375 0.875
Cl1 0.076 0.305 0.057
Cl2 0.305 0.943 0.924
Cl3 0.557 0.195 0.576
Cl4 0.943 0.076 0.695
Cl5 0.443 0.805 0.424
Cl6 0.576 0.443 0.195
Cl7 0.057 0.924 0.305
Cl8 0.805 0.576 0.557
Cl9 0.924 0.695 0.943
Cl10 0.424 0.557 0.805
Cl11 0.695 0.057 0.076
Cl12 0.195 0.424 0.443
Sn1 0.000 0.000 0.000
Sn2 0.500 0.500 0.500



Crystalline K2Sn2Cl7 at its relaxed geometry, computed with GGA-PBE.

Computed properties:
* total magnetic moment: 0.00 μB/cell
* density: 2.88 g/cm³
* E_tot: -3.36 eV per atom
* SG: Imm2, No. 44
* formation energy from raw total energies: -1.26 eV/atom

Cell: 9.341 9.341 9.341 Å, 153.15 116.88 69.86°
Sites, in units of the cell vectors:
K1 0.157 0.732 0.425
K2 0.692 0.268 0.425
Cl1 0.953 0.822 0.131
Cl2 0.522 0.607 0.916
Cl3 0.596 0.897 0.699
Cl4 0.009 0.500 0.509
Cl5 0.801 0.103 0.699
Cl6 0.308 0.178 0.131
Cl7 0.309 0.393 0.916
Sn1 0.183 0.000 0.183
Sn2 0.615 0.500 0.115



Crystalline K2SnCl4 at its relaxed geometry, computed with GGA-PBE.

Computed properties:
* total magnetic moment: 0.00 μB/cell
* density: 2.51 g/cm³
* E_tot: -3.48 eV per atom
* SG: C2/m, No. 12
* formation energy from raw total energies: -1.54 eV/atom

Cell: 4.191 8.743 8.199 Å, 127.94 104.81 90.00°
Sites, in units of the cell vectors:
Cl1 0.661 0.243 0.322
Cl2 0.339 0.757 0.678
Cl3 0.048 0.742 0.097
Cl4 0.952 0.258 0.903
K1 0.356 0.400 0.712
K2 0.644 0.600 0.288
Sn1 0.000 0.000 0.000



Crystalline KSn2Cl8 at its relaxed geometry, computed with GGA-PBE.

Computed properties:
* total magnetic moment: 0.00 μB/cell
* density: 2.30 g/cm³
* E_tot: -3.22 eV per atom
* SG: C2/m, No. 12
* formation energy from raw total energies: -1.05 eV/atom

Cell: 8.216 7.836 7.836 Å, 57.85 73.49 73.49°
Sites, in units of the cell vectors:
Sn1 0.308 0.207 0.207
Sn2 0.692 0.793 0.793
Cl1 0.770 0.639 0.123
Cl2 0.770 0.123 0.639
Cl3 0.853 0.611 0.611
Cl4 0.147 0.389 0.389
Cl5 0.385 0.822 0.822
Cl6 0.230 0.361 0.877
Cl7 0.615 0.178 0.178
Cl8 0.230 0.877 0.361
K1 0.000 0.000 0.000



Crystalline KSn3Cl6 at its relaxed geometry, computed with GGA-PBE.

Computed properties:
* total magnetic moment: 0.00 μB/cell
* density: 3.31 g/cm³
* E_tot: -3.47 eV per atom
* SG: P2_1/m, No. 11
* formation energy from raw total energies: -1.05 eV/atom

Cell: 4.137 12.418 15.862 Å, 131.58 90.00 90.00°
Sites, in units of the cell vectors:
Cl1 0.250 0.845 0.947
Cl2 0.750 0.155 0.053
Cl3 0.750 0.533 0.235
Cl4 0.250 0.354 0.452
Cl5 0.750 0.646 0.548
Cl6 0.250 0.834 0.451
Cl7 0.750 0.166 0.549
Cl8 0.250 0.680 0.140
Cl9 0.250 0.992 0.791
Cl10 0.750 0.008 0.209
Cl11 0.250 0.467 0.765
Cl12 0.750 0.320 0.860
K1 0.750 0.658 0.977
K2 0.250 0.342 0.023
Sn1 0.750 0.799 0.317
Sn2 0.250 0.116 0.170
Sn3 0.250 0.201 0.683
Sn4 0.750 0.884 0.830
Sn5 0.250 0.488 0.371
Sn6 0.750 0.512 0.629



Crystalline K2Sn3Cl8 at its relaxed geometry, computed with GGA-PBE.

Computed properties:
* total magnetic moment: 0.00 μB/cell
* density: 2.62 g/cm³
* E_tot: -3.54 eV per atom
* SG: C2/m, No. 12
* formation energy from raw total energies: -1.31 eV/atom

Cell: 7.309 8.566 8.825 Å, 119.03 106.88 90.00°
Sites, in units of the cell vectors:
Cl1 0.092 0.889 0.778
Cl2 0.941 0.608 0.217
Cl3 0.603 0.659 0.774
Cl4 0.603 0.116 0.774
Cl5 0.397 0.341 0.226
Cl6 0.908 0.111 0.222
Cl7 0.059 0.392 0.783
Cl8 0.397 0.884 0.226
Sn1 0.000 0.259 0.000
Sn2 0.500 0.000 0.000
Sn3 0.000 0.741 0.000
K1 0.340 0.270 0.541
K2 0.660 0.730 0.459



Crystalline KSn4Cl8 at its relaxed geometry, computed with GGA-PBE.

Computed properties:
* total magnetic moment: 0.00 μB/cell
* density: 2.75 g/cm³
* E_tot: -3.44 eV per atom
* SG: R-3m, No. 166
* formation energy from raw total energies: -0.99 eV/atom

Cell: 8.779 8.779 8.813 Å, 90.00 119.87 120.00°
Sites, in units of the cell vectors:
Cl1 0.472 0.236 0.205
Cl2 0.031 0.764 0.795
Cl3 0.464 0.732 0.196
Cl4 0.536 0.268 0.804
Cl5 0.031 0.267 0.795
Cl6 0.969 0.733 0.205
Cl7 0.528 0.764 0.795
Cl8 0.969 0.236 0.205
K1 0.000 0.500 0.500
Sn1 0.500 0.500 0.000
Sn2 0.500 0.000 0.000
Sn3 0.000 0.000 0.000
Sn4 0.000 0.500 0.000



Crystalline KSn2Cl5 at its relaxed geometry, computed with GGA-PBE.

Computed properties:
* total magnetic moment: 0.00 μB/cell
* density: 2.66 g/cm³
* E_tot: -3.53 eV per atom
* SG: P2_1/c, No. 14
* formation energy from raw total energies: -1.23 eV/atom

Cell: 7.422 10.964 14.695 Å, 108.43 90.00 90.00°
Sites, in units of the cell vectors:
Cl1 0.282 0.726 0.641
Cl2 0.749 0.700 0.458
Cl3 0.262 0.068 0.689
Cl4 0.251 0.300 0.542
Cl5 0.738 0.932 0.311
Cl6 0.676 0.506 0.173
Cl7 0.324 0.494 0.827
Cl8 0.718 0.274 0.359
Cl9 0.844 0.141 0.560
Cl10 0.762 0.932 0.811
Cl11 0.782 0.274 0.859
Cl12 0.238 0.068 0.189
Cl13 0.156 0.859 0.440
Cl14 0.249 0.300 0.042
Cl15 0.751 0.700 0.958
Cl16 0.218 0.726 0.141
Cl17 0.656 0.141 0.060
Cl18 0.824 0.506 0.673
Cl19 0.176 0.494 0.327
Cl20 0.344 0.859 0.940
K1 0.000 0.500 0.000
K2 0.500 0.000 0.500
K3 0.000 0.000 0.000
K4 0.500 0.500 0.500
Sn1 0.961 0.123 0.383
Sn2 0.539 0.123 0.883
Sn3 0.556 0.670 0.806
Sn4 0.944 0.670 0.306
Sn5 0.039 0.877 0.617
Sn6 0.444 0.330 0.194
Sn7 0.056 0.330 0.694
Sn8 0.461 0.877 0.117



Crystalline KSnCl at its relaxed geometry, computed with GGA-PBE.

Computed properties:
* total magnetic moment: 0.00 μB/cell
* density: 3.01 g/cm³
* E_tot: -3.38 eV per atom
* SG: P4/nmm, No. 129
* formation energy from raw total energies: -1.06 eV/atom

Cell: 4.314 4.314 11.473 Å, 90.00 90.00 90.00°
Sites, in units of the cell vectors:
Sn1 0.000 0.000 0.000
Sn2 0.500 0.500 0.000
K1 0.500 0.000 0.638
K2 0.000 0.500 0.362
Cl1 0.000 0.500 0.642
Cl2 0.500 0.000 0.358